Here is an optimized crystal structure of PrTm2Pa from the Alexandria database. Energies are from PBE.

The total magnetization is 0.001 μB per formula unit. The relative energy among the computed polymorphs is 0 meV per atom. The calculation puts the volume at 354.0 Å³/cell. The crystal system is trigonal.

The structure belongs to space group R3m (No. 160, hexagonal axes); the cell edges are 3.4307, 3.4307 and 34.7338 Å and the angles 90.00°, 90.00° and 120.00°. The distinct sites, in fractional coordinates, are Pr at (0.0000, 0.0000, 0.0000), Tm at (0.0000, 0.0000, 0.4203), Tm at (0.0000, 0.0000, 0.5790) and Pa at (0.0000, 0.0000, 0.1661).